[1]
Computed, not measured: a relaxed U2Al3Ga crystal at the PBE level of DFT.

abc: 5.5780 5.5780 8.4750
angles: 90.00 90.00 120.00
Space group P6_3/mmc (No. 194)
Inequivalent atoms, fractional coordinates:
1 U 0.3333 0.6667 0.0949 [4 per cell]
2 Al 0.1744 0.3488 0.7500 [6 per cell]
3 Ga 0.0000 0.0000 0.0000 [2 per cell]

=====

[2]
Computed, not measured: a relaxed UAlGa crystal at the PBE level of DFT.

abc: 4.7310 4.7310 2.9424
angles: 90.00 90.00 120.00
Space group P-6m2 (No. 187)
Inequivalent atoms, fractional coordinates:
1 U 0.0000 0.0000 0.0000 [1 per cell]
2 Al 0.3333 0.6667 0.5000 [1 per cell]
3 Ga 0.6667 0.3333 0.5000 [1 per cell]

=====

[3]
Computed, not measured: a relaxed U2AlGa8 crystal at the PBE level of DFT.

abc: 4.405 4.405 10.971
angles: 90.00 90.00 90.00
Space group P4/mmm (No. 123)
Inequivalent atoms, fractional coordinates:
1 U 0.000 0.000 0.190 [2 per cell]
2 Al 0.000 0.000 0.500 [1 per cell]
3 Ga 0.000 0.500 0.000 [2 per cell]
4 Ga 0.000 0.500 0.370 [4 per cell]
5 Ga 0.500 0.500 0.186 [2 per cell]

=====

[4]
Computed, not measured: a relaxed UAl2Ga crystal at the PBE level of DFT.

abc: 2.788 2.788 9.272
angles: 90.00 90.00 90.00
Space group P4/mmm (No. 123)
Inequivalent atoms, fractional coordinates:
1 U 0.000 0.000 0.000 [1 per cell]
2 Al 0.500 0.500 0.258 [2 per cell]
3 Ga 0.000 0.000 0.500 [1 per cell]

=====

[5]
Computed, not measured: a relaxed UAlGa2 crystal at the PBE level of DFT.

abc: 4.285 4.285 4.216
angles: 90.00 90.00 90.00
Space group P4/mmm (No. 123)
Inequivalent atoms, fractional coordinates:
1 U 0.000 0.000 0.000 [1 per cell]
2 Al 0.500 0.500 0.000 [1 per cell]
3 Ga 0.000 0.500 0.500 [2 per cell]

=====

[6]
Computed, not measured: a relaxed AlV3Ga crystal at the PBE level of DFT.

abc: 4.498 4.498 4.498
angles: 90.00 90.00 90.00
Space group Pm-3m (No. 221)
Inequivalent atoms, fractional coordinates:
1 Al 0.000 0.000 0.000 [1 per cell]
2 V 0.000 0.500 0.500 [3 per cell]
3 Ga 0.500 0.500 0.500 [1 per cell]

=====

[7]
Computed, not measured: a relaxed AlV4Ga5 crystal at the PBE level of DFT.

abc: 7.074 9.129 4.922
angles: 90.00 90.00 90.00
Space group Pmmn (No. 59, origin choice 2)
Inequivalent atoms, fractional coordinates:
1 Al 0.250 0.250 0.040 [2 per cell]
2 V 0.072 0.250 0.528 [4 per cell]
3 V 0.250 0.620 0.320 [4 per cell]
4 Ga 0.064 0.513 0.764 [8 per cell]
5 Ga 0.250 0.750 0.829 [2 per cell]

=====

[8]
Computed, not measured: a relaxed Al4V2Ga crystal at the PBE level of DFT.

abc: 4.831 4.831 12.498
angles: 90.00 90.00 90.00
Space group I4/mmm (No. 139)
Inequivalent atoms, fractional coordinates:
1 Al 0.000 0.000 0.200 [4 per cell]
2 Al 0.000 0.500 0.000 [4 per cell]
3 V 0.000 0.000 0.412 [4 per cell]
4 Ga 0.000 0.000 0.000 [2 per cell]

=====

[9]
Computed, not measured: a relaxed Al4VGa2 crystal at the PBE level of DFT.

abc: 6.338 6.338 6.690
angles: 90.00 90.00 90.00
Space group I-42m (No. 121)
Inequivalent atoms, fractional coordinates:
1 Al 0.161 0.161 0.134 [8 per cell]
2 V 0.000 0.000 0.500 [2 per cell]
3 Ga 0.000 0.500 0.250 [4 per cell]

=====

[10]
Computed, not measured: a relaxed Al2V5Ga crystal at the PBE level of DFT.

abc: 3.699 3.699 16.359
angles: 90.00 90.00 90.00
Space group I4/mmm (No. 139)
Inequivalent atoms, fractional coordinates:
1 Al 0.000 0.000 0.249 [4 per cell]
2 V 0.000 0.000 0.000 [2 per cell]
3 V 0.000 0.500 0.125 [8 per cell]
4 Ga 0.000 0.000 0.500 [2 per cell]

=====

[11]
Computed, not measured: a relaxed AlV8Ga5 crystal at the PBE level of DFT.

abc: 7.435 7.435 7.430
angles: 90.00 90.00 90.00
Space group I-4 (No. 82)
Inequivalent atoms, fractional coordinates:
1 Al 0.000 0.000 0.000 [2 per cell]
2 V 0.078 0.171 0.300 [8 per cell]
3 V 0.078 0.332 0.954 [8 per cell]
4 Ga 0.000 0.500 0.250 [2 per cell]
5 Ga 0.127 0.250 0.627 [8 per cell]

=====

[12]
Computed, not measured: a relaxed Al7V2Ga crystal at the PBE level of DFT.

abc: 7.067 12.897 4.297
angles: 90.00 90.00 90.00
Space group Cmmm (No. 65)
Inequivalent atoms, fractional coordinates:
1 Al 0.000 0.000 0.000 [2 per cell]
2 Al 0.000 0.113 0.500 [4 per cell]
3 Al 0.187 0.389 0.000 [8 per cell]
4 V 0.000 0.217 0.000 [4 per cell]
5 Ga 0.000 0.500 0.500 [2 per cell]

=====

| no. | energy relative to the elements (eV/atom) | ρ (g/cm3) |
| --- | --- | --- |
| 1 | -0.211 | 9.115 |
| 2 | -0.164 | 9.746 |
| 3 | -0.159 | 8.276 |
| 4 | -0.035 | 8.332 |
| 5 | -0.194 | 8.674 |
| 6 | 0.971 | 4.553 |
| 7 | 0.101 | 6.054 |
| 8 | 0.727 | 3.183 |
| 9 | 0.397 | 3.687 |
| 10 | -0.169 | 5.613 |
| 11 | -0.032 | 6.333 |
| 12 | 0.329 | 3.056 |